Computed, not measured: ZrMnCoNi after structural relaxation at the PBE level of DFT.

Cell lengths 6.129, 6.129, 6.129 Å; angles 90.00, 90.00, 90.00 degrees
Space group F-43m (No. 216)
Symmetry-distinct sites (fractional):
Zr 0.000 0.000 0.000 x4
Mn 0.000 0.000 0.500 x4
Co 0.250 0.250 0.750 x4
Ni 0.250 0.250 0.250 x4

* formation energy from the elements: -0.1784 eV/atom
* magnetic moment: 19.45 Bohr magnetons per cell